(1)
! TaIBrCl2, optimized geometry, DFT PBE-GGA; values from VASP
&SYSTEM
  ibrav = 0, nat = 5, ntyp = 4
/
ATOMIC_SPECIES
I 126.90 I.upf
Cl 35.45 Cl.upf
Br 79.90 Br.upf
Ta 180.95 Ta.upf
ATOMIC_POSITIONS angstrom
I 2.456 2.612 2.456
Cl 0.000 0.000 2.456
Br 0.000 2.612 0.000
Cl 2.456 0.000 0.000
Ta 0.000 0.000 0.000
CELL_PARAMETERS angstrom
4.913 0.000 0.000
0.000 5.225 0.000
0.000 0.000 4.913
! DOS at the Fermi energy, states/eV per atom: 0.7730
! VASP energy, Ha/atom: -0.1493
! Crystal system: tetragonal
! Magnetic moment, μB/cell: 0.1
! Raw formation energy, eV/atom: -0.310
! SG: P4/mmm (123)

(2)
! Pr6SnOs2Br3, optimized geometry, DFT PBE-GGA; values from VASP
&SYSTEM
  ibrav = 0, nat = 12, ntyp = 4
/
ATOMIC_SPECIES
Pr 140.91 Pr.upf
Os 190.23 Os.upf
Br 79.90 Br.upf
Sn 118.71 Sn.upf
ATOMIC_POSITIONS angstrom
Pr 6.667 -1.857 -5.356
Pr 3.011 -2.950 -4.011
Os 3.308 -0.991 -1.892
Os 5.685 -3.924 -3.639
Pr 2.326 -3.058 -0.175
Pr 5.982 -1.964 -1.521
Pr 8.230 -4.844 -3.352
Br 5.204 -4.171 0.949
Pr 0.763 -0.070 -2.179
Br -0.184 -1.758 -4.768
Sn -0.701 -1.993 -0.181
Br 3.789 -0.743 -6.480
CELL_PARAMETERS angstrom
-1.401 -3.987 -0.362
1.033 0.471 -9.175
9.360 -1.398 4.006
! DOS at the Fermi energy, states/eV per atom: 0.6382
! VASP energy, Ha/atom: -0.2132
! Crystal system: monoclinic
! Magnetic moment, μB/cell: 0.0
! Raw formation energy, eV/atom: -0.789
! SG: C2/m (12)

(3)
! Cu2Ag2Hg, optimized geometry, DFT PBE-GGA; values from VASP
&SYSTEM
  ibrav = 0, nat = 5, ntyp = 3
/
ATOMIC_SPECIES
Hg 200.59 Hg.upf
Ag 107.87 Ag.upf
Cu 63.55 Cu.upf
ATOMIC_POSITIONS angstrom
Hg 0.000 0.000 0.000
Ag -0.843 -0.303 2.807
Ag -1.687 1.311 7.261
Cu -0.102 0.230 5.354
Cu -2.428 0.778 4.714
CELL_PARAMETERS angstrom
-3.169 -0.968 1.124
1.483 -2.065 2.403
-0.845 4.041 6.541
! DOS at the Fermi energy, states/eV per atom: 0.3284
! VASP energy, Ha/atom: -0.0959
! Crystal system: tetragonal
! Magnetic moment, μB/cell: 0.0
! SG: I4/mmm (139)

(4)
! Tb5Pm3Tm2, optimized geometry, DFT PBE-GGA; values from VASP
&SYSTEM
  ibrav = 0, nat = 20, ntyp = 3
/
ATOMIC_SPECIES
Tm 168.93 Tm.upf
Pm 145.00 Pm.upf
Tb 158.93 Tb.upf
ATOMIC_POSITIONS angstrom
Tm 1.688 -13.437 3.770
Pm 2.713 -5.962 2.847
Tb 2.966 -6.147 -0.605
Tb 0.891 -8.799 1.656
Pm 4.167 -15.166 -1.261
Tm 2.861 -10.156 3.683
Pm 5.751 -12.155 3.384
Tb 5.989 -12.329 -0.070
Tb 7.122 -15.156 1.293
Pm -2.873 -4.154 0.012
Tb 2.482 -11.949 0.797
Tb 1.673 -3.203 0.285
Tb -0.242 -5.972 0.293
Tb 5.207 -17.925 1.301
Tb 4.398 -9.180 0.789
Pm -0.958 -1.385 0.004
Tm 5.192 -7.691 -2.184
Pm 1.129 -8.973 -1.798
Tb 3.914 -14.981 2.191
Tm 4.019 -10.973 -2.097
CELL_PARAMETERS angstrom
-3.830 -5.538 0.016
5.750 -8.084 -4.775
4.960 -7.506 6.345
! DOS at the Fermi energy, states/eV per atom: 1.5858
! VASP energy, Ha/atom: -0.1607
! Crystal system: orthorhombic
! Magnetic moment, μB/cell: 0.0
! SG: Ibam (72)

(5)
! La2GaHRu, optimized geometry, DFT PBE-GGA; values from VASP
&SYSTEM
  ibrav = 0, nat = 10, ntyp = 4
/
ATOMIC_SPECIES
La 138.91 La.upf
Ru 101.07 Ru.upf
H 1.01 H.upf
Ga 69.72 Ga.upf
ATOMIC_POSITIONS angstrom
La 3.236 4.722 0.380
Ru 1.079 1.629 6.166
H 3.236 0.585 1.479
H 1.079 3.329 6.664
Ga 3.236 0.277 5.679
Ru 3.236 2.285 1.977
La 1.079 0.475 3.350
La 3.236 3.439 4.793
La 1.079 -0.808 7.762
Ga 1.079 3.637 2.463
CELL_PARAMETERS angstrom
4.314 0.000 0.000
0.000 6.304 0.259
0.000 -2.390 7.884
! DOS at the Fermi energy, states/eV per atom: 0.7761
! VASP energy, Ha/atom: -0.2051
! Crystal system: monoclinic
! Magnetic moment, μB/cell: 0.0
! SG: P2_1/m (11)

(6)
! K3SrP, optimized geometry, DFT PBE-GGA; values from VASP
&SYSTEM
  ibrav = 0, nat = 5, ntyp = 3
/
ATOMIC_SPECIES
K 39.10 K.upf
Sr 87.62 Sr.upf
P 30.97 P.upf
ATOMIC_POSITIONS angstrom
K 0.000 3.805 0.000
Sr 0.000 0.000 0.000
K 0.000 0.000 3.805
P 3.805 3.805 3.805
K 3.805 0.000 0.000
CELL_PARAMETERS angstrom
7.611 0.000 0.000
0.000 7.611 0.000
0.000 0.000 7.611
! DOS at the Fermi energy, states/eV per atom: 2.2735
! VASP energy, Ha/atom: -0.0401
! Crystal system: cubic
! Magnetic moment, μB/cell: 0.2
! SG: Pm-3m (221)

(7)
! NbSn2N, optimized geometry, DFT PBE-GGA; values from VASP
&SYSTEM
  ibrav = 0, nat = 8, ntyp = 3
/
ATOMIC_SPECIES
N 14.01 N.upf
Sn 118.71 Sn.upf
Nb 92.91 Nb.upf
ATOMIC_POSITIONS angstrom
N 3.404 6.808 1.593
Sn 4.607 1.702 0.796
Sn 2.202 5.106 0.796
Nb 0.000 0.000 0.000
Sn 8.510 8.011 2.389
Sn 5.106 5.606 2.389
Nb 6.808 3.404 1.593
N 3.404 3.404 0.000
CELL_PARAMETERS angstrom
6.808 0.000 0.000
0.000 6.808 0.000
3.404 3.404 3.185
! DOS at the Fermi energy, states/eV per atom: 0.4758
! VASP energy, Ha/atom: -0.2220
! Crystal system: tetragonal
! Magnetic moment, μB/cell: 0.0
! Raw formation energy, eV/atom: 0.559
! SG: I-42d (122)

(8)
! Rb2HOsBr6, optimized geometry, DFT PBE-GGA; values from VASP
&SYSTEM
  ibrav = 0, nat = 10, ntyp = 4
/
ATOMIC_SPECIES
Br 79.90 Br.upf
H 1.01 H.upf
Os 190.23 Os.upf
Rb 85.47 Rb.upf
ATOMIC_POSITIONS angstrom
Br 1.766 1.766 0.000
H 4.145 4.145 0.000
Br 1.766 6.523 0.000
Os 0.000 0.000 0.000
Rb 8.289 4.145 2.229
Br 8.289 8.289 2.722
Br 6.523 1.766 0.000
Rb 4.145 8.289 2.229
Br 4.145 4.145 1.736
Br 6.523 6.523 0.000
CELL_PARAMETERS angstrom
8.289 0.000 0.000
0.000 8.289 0.000
4.145 4.145 4.457
! DOS at the Fermi energy, states/eV per atom: 0.7967
! VASP energy, Ha/atom: -0.1214
! Crystal system: tetragonal
! Magnetic moment, μB/cell: 1.9
! SG: I4/mmm (139)

(9)
! FeReSiOs, optimized geometry, DFT PBE-GGA; values from VASP
&SYSTEM
  ibrav = 0, nat = 4, ntyp = 4
/
ATOMIC_SPECIES
Re 186.21 Re.upf
Si 28.09 Si.upf
Fe 55.84 Fe.upf
Os 190.23 Os.upf
ATOMIC_POSITIONS angstrom
Re 4.198 2.423 1.714
Si 6.296 3.635 2.570
Fe 2.099 1.212 0.857
Os 0.000 0.000 0.000
CELL_PARAMETERS angstrom
4.198 0.000 0.000
2.099 3.635 0.000
2.099 1.212 3.427
! DOS at the Fermi energy, states/eV per atom: 0.8511
! VASP energy, Ha/atom: -0.3480
! Crystal system: cubic
! Magnetic moment, μB/cell: 2.4
! Raw formation energy, eV/atom: -0.078
! SG: F-43m (216)

(10)
! Sr2Cu, optimized geometry, DFT PBE-GGA; values from VASP
&SYSTEM
  ibrav = 0, nat = 6, ntyp = 2
/
ATOMIC_SPECIES
Sr 87.62 Sr.upf
Cu 63.55 Cu.upf
ATOMIC_POSITIONS angstrom
Sr -2.618 -1.386 4.253
Cu -1.589 1.872 4.192
Sr -4.422 -1.287 7.810
Sr -4.329 2.080 9.627
Cu 0.346 6.354 3.102
Sr -6.338 -0.323 12.096
CELL_PARAMETERS angstrom
-5.380 -1.658 4.832
-1.879 -2.730 6.638
0.571 6.967 3.029
! DOS at the Fermi energy, states/eV per atom: 0.7544
! VASP energy, Ha/atom: -0.0915
! Crystal system: orthorhombic
! Magnetic moment, μB/cell: 0.0
! SG: Cmc2_1 (36)

(11)
! LaFe2H8, optimized geometry, DFT PBE-GGA; values from VASP
&SYSTEM
  ibrav = 0, nat = 11, ntyp = 3
/
ATOMIC_SPECIES
H 1.01 H.upf
Fe 55.84 Fe.upf
La 138.91 La.upf
ATOMIC_POSITIONS angstrom
H -2.890 0.056 -0.948
H -4.290 1.692 1.561
Fe -3.122 0.690 1.883
H -2.560 1.538 0.580
La -0.421 0.007 0.085
Fe -3.530 -1.142 -0.005
H -1.617 1.386 2.069
H -4.785 -0.528 -0.727
H -2.284 -1.605 -1.013
H -4.308 -0.091 1.020
H -2.456 -0.731 1.241
CELL_PARAMETERS angstrom
-3.931 1.942 -1.034
-1.695 -4.003 -1.271
-0.493 1.386 4.283
! DOS at the Fermi energy, states/eV per atom: 0.3998
! VASP energy, Ha/atom: -0.1698
! Crystal system: monoclinic
! Magnetic moment, μB/cell: 2.2
! SG: Cm (8)

(12)
! LiZn2SbH, optimized geometry, DFT PBE-GGA; values from VASP
&SYSTEM
  ibrav = 0, nat = 5, ntyp = 4
/
ATOMIC_SPECIES
Zn 65.41 Zn.upf
Sb 121.76 Sb.upf
H 1.01 H.upf
Li 6.94 Li.upf
ATOMIC_POSITIONS angstrom
Zn 2.133 0.000 0.000
Sb 2.133 2.133 2.081
H 0.000 0.000 0.000
Zn 0.000 2.133 0.000
Li 0.000 0.000 2.081
CELL_PARAMETERS angstrom
4.266 0.000 0.000
0.000 4.266 0.000
0.000 0.000 4.163
! DOS at the Fermi energy, states/eV per atom: 0.2931
! VASP energy, Ha/atom: -0.0883
! Crystal system: tetragonal
! Magnetic moment, μB/cell: 0.0
! SG: P4/mmm (123)

(13)
! MoP2Br, optimized geometry, DFT PBE-GGA; values from VASP
&SYSTEM
  ibrav = 0, nat = 4, ntyp = 3
/
ATOMIC_SPECIES
P 30.97 P.upf
Mo 95.94 Mo.upf
Br 79.90 Br.upf
ATOMIC_POSITIONS angstrom
P -3.358 -1.582 -1.223
P -5.228 -5.583 3.640
Mo -1.984 -0.157 1.486
Br -2.465 -2.632 1.716
CELL_PARAMETERS angstrom
-3.615 -3.818 -1.149
-1.636 -1.790 4.805
0.096 4.069 -3.522
! DOS at the Fermi energy, states/eV per atom: 0.8597
! VASP energy, Ha/atom: -0.1909
! Crystal system: orthorhombic
! Magnetic moment, μB/cell: 0.1
! Raw formation energy, eV/atom: 0.637
! SG: Imm2 (44)

(14)
! P4PbBr, optimized geometry, DFT PBE-GGA; values from VASP
&SYSTEM
  ibrav = 0, nat = 6, ntyp = 3
/
ATOMIC_SPECIES
P 30.97 P.upf
Pb 207.20 Pb.upf
Br 79.90 Br.upf
ATOMIC_POSITIONS angstrom
P 2.887 2.887 2.887
P 2.887 5.516 5.516
Pb 6.302 6.302 6.302
Br 0.000 0.000 0.000
P 5.516 5.516 2.887
P 5.516 2.887 5.516
CELL_PARAMETERS angstrom
0.000 4.202 4.202
4.202 0.000 4.202
4.202 4.202 0.000
! DOS at the Fermi energy, states/eV per atom: 0.4978
! VASP energy, Ha/atom: -0.1603
! Crystal system: cubic
! Magnetic moment, μB/cell: 0.0
! Raw formation energy, eV/atom: 0.142
! SG: F-43m (216)

(15)
! ScGaSn3, optimized geometry, DFT PBE-GGA; values from VASP
&SYSTEM
  ibrav = 0, nat = 5, ntyp = 3
/
ATOMIC_SPECIES
Sn 118.71 Sn.upf
Sc 44.96 Sc.upf
Ga 69.72 Ga.upf
ATOMIC_POSITIONS angstrom
Sn 0.000 2.750 0.000
Sc 0.000 0.000 0.000
Ga 2.750 2.750 2.750
Sn 0.000 0.000 2.750
Sn 2.750 0.000 0.000
CELL_PARAMETERS angstrom
5.499 0.000 0.000
0.000 5.499 0.000
0.000 0.000 5.499
! DOS at the Fermi energy, states/eV per atom: 0.5953
! VASP energy, Ha/atom: -0.1453
! Crystal system: cubic
! Magnetic moment, μB/cell: 0.0
! SG: Pm-3m (221)

(16)
! ZrBe2Te, optimized geometry, DFT PBE-GGA; values from VASP
&SYSTEM
  ibrav = 0, nat = 4, ntyp = 3
/
ATOMIC_SPECIES
Te 127.60 Te.upf
Be 9.01 Be.upf
Zr 91.22 Zr.upf
ATOMIC_POSITIONS angstrom
Te -1.567 2.122 0.638
Be -0.152 0.206 0.062
Be -0.799 0.224 2.611
Zr -2.567 2.620 3.332
CELL_PARAMETERS angstrom
-2.066 -2.073 1.823
1.913 0.566 2.812
-3.287 4.452 1.339
! DOS at the Fermi energy, states/eV per atom: 0.3343
! VASP energy, Ha/atom: -0.1721
! Crystal system: tetragonal
! Magnetic moment, μB/cell: 0.0
! Raw formation energy, eV/atom: 0.102
! SG: P4mm (99)

(17)
! Y5Cd4Hg, optimized geometry, DFT PBE-GGA; values from VASP
&SYSTEM
  ibrav = 0, nat = 10, ntyp = 3
/
ATOMIC_SPECIES
Cd 112.41 Cd.upf
Y 88.91 Y.upf
Hg 200.59 Hg.upf
ATOMIC_POSITIONS angstrom
Cd 0.000 0.000 14.994
Y 1.872 1.872 1.846
Y 1.872 1.872 5.614
Y 1.872 1.872 13.137
Cd 0.000 0.000 7.494
Y 1.872 1.872 16.905
Cd 0.000 0.000 3.757
Hg 0.000 0.000 0.000
Y 1.872 1.872 9.375
Cd 0.000 0.000 11.256
CELL_PARAMETERS angstrom
3.744 0.000 0.000
0.000 3.744 0.000
0.000 0.000 18.751
! DOS at the Fermi energy, states/eV per atom: 1.0198
! VASP energy, Ha/atom: -0.1475
! Crystal system: tetragonal
! Magnetic moment, μB/cell: 0.0
! SG: P4/mmm (123)

(18)
! AcMgAl3, optimized geometry, DFT PBE-GGA; values from VASP
&SYSTEM
  ibrav = 0, nat = 10, ntyp = 3
/
ATOMIC_SPECIES
Ac 227.00 Ac.upf
Mg 24.30 Mg.upf
Al 26.98 Al.upf
ATOMIC_POSITIONS angstrom
Ac 1.114 0.000 2.003
Mg 3.343 0.000 5.170
Al 3.343 2.263 3.291
Al 3.343 2.263 0.656
Al 3.343 0.000 7.991
Al 1.114 0.000 12.024
Al 1.114 0.000 9.389
Al 1.114 2.263 4.689
Mg 1.114 2.263 7.510
Ac 3.343 2.263 10.677
CELL_PARAMETERS angstrom
4.458 0.000 0.000
0.000 4.527 0.000
0.000 -2.263 12.680
! DOS at the Fermi energy, states/eV per atom: 0.6788
! VASP energy, Ha/atom: -0.1319
! Crystal system: orthorhombic
! Magnetic moment, μB/cell: 0.0
! SG: Cmcm (63)

(19)
! CeThFe, optimized geometry, DFT PBE-GGA; values from VASP
&SYSTEM
  ibrav = 0, nat = 6, ntyp = 3
/
ATOMIC_SPECIES
Fe 55.84 Fe.upf
Th 232.04 Th.upf
Ce 140.12 Ce.upf
ATOMIC_POSITIONS angstrom
Fe 0.000 1.246 0.682
Th 0.000 4.006 -0.692
Fe 2.252 2.356 3.966
Ce 2.252 2.910 1.881
Ce 0.000 0.692 2.766
Th 2.252 -0.404 5.339
CELL_PARAMETERS angstrom
4.503 0.000 0.000
-2.252 5.158 -1.833
0.000 -1.556 6.480
! DOS at the Fermi energy, states/eV per atom: 1.0998
! VASP energy, Ha/atom: -0.2700
! Crystal system: monoclinic
! Magnetic moment, μB/cell: 0.0
! SG: C2/m (12)

(20)
! Dy4Tl3H, optimized geometry, DFT PBE-GGA; values from VASP
&SYSTEM
  ibrav = 0, nat = 16, ntyp = 3
/
ATOMIC_SPECIES
Tl 204.38 Tl.upf
Dy 162.50 Dy.upf
H 1.01 H.upf
ATOMIC_POSITIONS angstrom
Tl 0.647 -1.749 3.809
Dy -0.231 -8.912 -1.412
Tl -1.837 -4.349 2.848
Tl -0.697 -4.794 5.474
Dy -2.096 -1.617 5.022
Tl 2.712 -6.770 4.850
Tl -3.208 -8.817 -0.103
Dy -1.700 -7.314 1.997
Dy 0.626 -3.022 1.102
H -0.338 -8.641 3.068
Dy 1.719 -7.998 2.284
Dy 2.409 -3.719 5.210
Dy -3.063 -2.379 0.926
H -5.167 -2.382 1.839
Dy -0.355 -7.840 5.097
Tl 0.723 -5.993 0.268
CELL_PARAMETERS angstrom
-5.640 -0.875 2.300
0.673 -9.210 -1.854
3.129 -1.223 7.208
! DOS at the Fermi energy, states/eV per atom: 0.7571
! VASP energy, Ha/atom: -0.1335
! Crystal system: orthorhombic
! Magnetic moment, μB/cell: 0.0
! SG: Pmn2_1 (31)